## i
PBE-GGA Sm2Y8Sc, relaxed; M_tot = 0.00 Bohr magnetons per cell
1.0
5.7470 0.3552 -1.0604
-2.2850 6.6006 -3.3446
-0.6989 0.3658 9.0830
Y Sm Sc
8 2 1
Cartesian
3.2961 1.7515 2.2871 Y
-0.5330 5.5702 2.3908 Y
-1.8590 6.0456 -1.0211 Y
3.1486 2.9645 -2.1284 Y
2.7220 5.0275 3.8883 Y
0.3134 3.9913 -2.2767 Y
4.6221 1.2760 5.6990 Y
0.0410 2.2942 0.7896 Y
2.1325 4.9732 0.4741 Sm
0.6306 2.3485 4.2039 Sm
2.8735 0.1776 -0.5302 Sc

---

## ii
PBE-GGA Sm2Y8Sc, relaxed; M_tot = 0.00 Bohr magnetons per cell
1.0
-2.7037 3.3904 -3.6646
3.7998 -5.5686 -7.3132
-2.2978 -8.1562 -5.2084
Sm Y Sc
2 8 1
Cartesian
-1.5944 -1.3438 -6.2708 Sm
0.3927 -8.9907 -9.9154 Sm
-1.3973 -3.6104 -8.4865 Y
0.1956 -6.7240 -7.6997 Y
1.2899 -3.6180 -6.1366 Y
-0.8436 -8.6312 -13.0549 Y
-2.4916 -6.7165 -10.0496 Y
-0.3581 -1.7033 -3.1312 Y
0.3914 -5.4930 -11.0447 Y
-1.5931 -4.8415 -5.1414 Y
0.0000 0.0000 0.0000 Sc

---

Of them, the most stable is i and the least stable is ii.

---

## i
PBE-GGA SmY2Sc4, relaxed; M_tot = 0.00 Bohr magnetons per cell
1.0
-0.3912 4.2131 -3.1270
1.0448 -2.0003 -2.8257
-10.6674 -1.4425 -0.6089
Y Sc Sm
2 4 1
Cartesian
-1.7110 1.7417 -1.8655 Y
-8.3029 -0.9714 -4.6962 Y
-6.3223 0.6314 -2.7845 Sc
-3.7097 -0.8932 -0.7393 Sc
-5.9130 -2.5496 -2.6954 Sc
-3.6916 0.1388 -3.7772 Sc
0.5224 -1.0001 -1.4129 Sm

---

## ii
PBE-GGA SmY2Sc4, relaxed; M_tot = 0.00 Bohr magnetons per cell
1.0
-3.0804 -5.8442 -3.7818
6.2337 0.8986 -6.4023
4.0138 -2.4274 3.5849
Y Sc Sm
4 8 2
Cartesian
8.0279 -3.9967 -3.7057 Y
2.2587 -4.5759 -4.0803 Y
3.6544 -1.8186 -0.5458 Y
3.4332 -7.3276 -2.4041 Y
0.8182 -2.0760 -2.4390 Sc
5.0680 -4.3342 -2.2009 Sc
2.3946 -4.5063 -7.4573 Sc
3.8571 -1.6444 -3.9030 Sc
6.6714 -1.3657 -1.9979 Sc
-0.7828 -4.9784 -2.5355 Sc
5.2083 -4.2430 -5.5745 Sc
2.0197 -4.7420 -0.6951 Sc
6.8359 -1.2415 -5.3774 Sm
0.3836 -7.6599 -0.8305 Sm

---

Of them, the most stable is ii and the least stable is i.

---

## i
PBE-GGA Sm3YSc3, relaxed; M_tot = 0.00 Bohr magnetons per cell
1.0
7.5774 0.4204 3.9432
2.5753 7.1388 3.9432
0.5646 0.4204 8.5234
Sc Sm Y
6 6 2
Cartesian
6.6111 0.9007 5.8751 Sc
4.1063 7.0788 10.5347 Sc
9.0740 5.6300 7.9947 Sc
4.2707 6.0753 4.8875 Sc
1.6434 2.3494 8.4151 Sc
6.4467 1.9042 11.5223 Sc
4.8826 1.0450 8.6253 Sm
3.7849 3.6015 10.7440 Sm
2.7028 5.3862 7.9380 Sm
8.0145 2.5933 8.4718 Sm
5.8347 6.9345 7.7845 Sm
6.9325 4.3780 5.6658 Sm
3.7035 2.7574 5.6705 Y
7.0139 5.2221 10.7393 Y

---

## ii
PBE-GGA Sm3YSc3, relaxed; M_tot = 0.02 Bohr magnetons per cell
1.0
5.5323 0.0000 0.0000
0.0000 9.3087 0.0000
0.0000 -4.6544 8.0616
Sm Y Sc
6 2 6
Cartesian
4.1492 -3.2956 6.4371 Sm
4.1492 2.5681 7.6971 Sm
1.3831 7.9499 1.6245 Sm
4.1492 0.7275 1.9890 Sm
1.3831 2.0863 0.3645 Sm
1.3831 3.9269 6.0726 Sm
4.1492 0.0000 5.3744 Y
1.3831 4.6544 2.6872 Y
4.1492 4.0442 0.7682 Sc
4.1492 3.2976 4.1751 Sc
1.3831 0.6102 7.2934 Sc
1.3831 -1.9670 4.9434 Sc
1.3831 1.3568 3.8865 Sc
4.1492 6.6214 3.1182 Sc

---

Of them, the most stable is ii and the least stable is i.

---

## i
PBE-GGA SmY4Sc3, relaxed; M_tot = 4.11 Bohr magnetons per cell
1.0
-0.4311 -1.7548 -2.7825
7.6984 -3.6576 1.1139
-4.4880 -5.8670 4.3954
Y Sm Sc
4 1 3
Cartesian
-1.5268 -6.1685 2.1488 Y
2.3741 -7.0434 4.0742 Y
4.3061 -5.1109 0.5781 Y
0.8363 -2.4812 1.4352 Y
-0.2156 -0.8774 -1.3913 Sm
-2.2440 -2.9335 2.1977 Sc
3.8492 -1.8288 0.5570 Sc
1.3896 -5.6397 1.3634 Sc

---

## ii
PBE-GGA SmY4Sc3, relaxed; M_tot = 0.00 Bohr magnetons per cell
1.0
-2.5614 1.7092 1.3069
-6.7151 -4.4373 -3.0773
-1.7501 -4.7046 7.0042
Y Sm Sc
4 1 3
Cartesian
-3.5149 -2.3476 4.7439 Y
-5.0756 -5.2162 5.4365 Y
-7.5118 -5.0851 0.4899 Y
-5.9510 -2.2165 -0.2027 Y
-1.2807 0.8546 0.6534 Sm
-4.2326 -4.5709 1.9634 Sc
-3.9831 -0.9038 1.9378 Sc
-7.0435 -6.5289 3.2959 Sc

---

Of them, the most stable is ii and the least stable is i.